Material: CdHgTeO
Method: DFT, GGA-PBE
State: optimized geometry

The structure in CIF format:
```
data_CdHgTeO
_chemical_formula_sum 'Cd2 Hg2 Te2 O2'
_space_group_name_H-M_alt 'P 1'
_space_group_IT_number 1
_cell_length_a 3.863
_cell_length_b 6.152
_cell_length_c 7.424
_cell_angle_alpha 90.00
_cell_angle_beta 74.92
_cell_angle_gamma 90.00
loop_
_space_group_symop_operation_xyz
'x,y,z'
loop_
_atom_site_label
_atom_site_fract_x
_atom_site_fract_y
_atom_site_fract_z
_atom_site_occupancy
Te1 0.235 0.250 0.530 1
Te2 0.765 0.750 0.470 1
Cd1 0.887 0.250 0.227 1
Cd2 0.113 0.750 0.773 1
O1 0.000 0.000 0.000 1
O2 0.000 0.500 0.000 1
Hg1 0.568 0.250 0.863 1
Hg2 0.432 0.750 0.137 1
```

## Properties
Mass density = 8.90 g cm⁻³
Calculated total energy = -2.46 eV/atom
Space group = Cmcm (63)
Crystal system = orthorhombic